# 1
An optimized crystal structure of FeCo8Ir2. Source: the Alexandria database, functional PBE.

Summary:
The total energy comes out at -82.6 eV for the cell shown. The density of states at the Fermi level comes out at 15.0 states/eV per cell. The value obtained for the size of the total moment is 16.65 Bohr magnetons per cell.

a b c (Å): 6.743 6.743 5.726
angles (deg): 105.15 105.15 31.15
Fractional coordinates of all 11 atoms:
Fe 0.000 0.000 0.000
Co 0.086 0.086 0.456
Co 0.179 0.179 0.911
Co 0.368 0.368 0.826
Co 0.457 0.457 0.275
Co 0.543 0.543 0.725
Co 0.632 0.632 0.174
Co 0.821 0.821 0.089
Co 0.914 0.914 0.544
Ir 0.274 0.274 0.355
Ir 0.726 0.726 0.645



# 2
An optimized crystal structure of LaYRu2. Source: the Alexandria database, functional PBE.

Summary:
The total energy comes out at -30.2 eV for the cell shown. The density of states at the Fermi level comes out at 2.0 states/eV per cell. The value obtained for the size of the total moment is 0.00 Bohr magnetons per cell.

a b c (Å): 6.282 6.282 6.282
angles (deg): 149.36 136.24 54.36
Fractional coordinates of all 4 atoms:
La 0.000 0.000 0.000
Y 0.724 0.224 0.500
Ru 0.264 0.764 0.500
Ru 0.453 0.453 0.000



# 3
An optimized crystal structure of TmNpN2. Source: the Alexandria database, functional PBE.

Summary:
The density of states at the Fermi level comes out at 3.6 states/eV per cell. The value obtained for the size of the total moment is 3.89 Bohr magnetons per cell. The uncorrected formation energy comes out at -4.915 eV/f.u.

a b c (Å): 6.282 6.282 6.282
angles (deg): 30.81 30.81 30.81
Fractional coordinates of all 4 atoms:
Tm 0.000 0.000 0.000
Np 0.829 0.829 0.829
N 0.409 0.409 0.409
N 0.582 0.582 0.582



# 4
An optimized crystal structure of BeGa2Tc. Source: the Alexandria database, functional PBE.

Summary:
The total energy comes out at -20.1 eV for the cell shown. The density of states at the Fermi level comes out at 2.0 states/eV per cell. The value obtained for the size of the total moment is 0.40 Bohr magnetons per cell.

a b c (Å): 3.677 3.677 3.919
angles (deg): 90.00 90.00 90.00
Fractional coordinates of all 4 atoms:
Be 0.000 0.000 0.000
Ga 0.000 0.500 0.500
Ga 0.500 0.000 0.500
Tc 0.500 0.500 0.000



# 5
An optimized crystal structure of Th3Al9Ir2. Source: the Alexandria database, functional PBE.

Summary:
The total energy comes out at -82.5 eV for the cell shown. The density of states at the Fermi level comes out at 5.4 states/eV per cell. The value obtained for the size of the total moment is 0.00 Bohr magnetons per cell.

a b c (Å): 8.336 8.336 8.336
angles (deg): 149.77 104.99 82.95
Fractional coordinates of all 14 atoms:
Th 0.000 0.000 0.000
Th 0.319 0.319 0.000
Th 0.681 0.681 0.000
Al 0.027 0.662 0.365
Al 0.159 0.879 0.280
Al 0.298 0.662 0.635
Al 0.401 0.121 0.280
Al 0.500 0.000 0.500
Al 0.599 0.879 0.720
Al 0.702 0.338 0.365
Al 0.841 0.121 0.720
Al 0.973 0.338 0.635
Ir 0.289 0.500 0.789
Ir 0.711 0.500 0.211



# 6
An optimized crystal structure of HfTiC. Source: the Alexandria database, functional PBE.

Summary:
As for the energy above the most stable polymorph in this dataset: 0 meV per atom. The density of states at the Fermi level comes out at 3.1 states/eV per cell. The value obtained for the size of the total moment is 0.00 Bohr magnetons per cell.

a b c (Å): 5.405 5.405 5.542
angles (deg): 97.79 97.79 34.31
Fractional coordinates of all 6 atoms:
Hf 0.123 0.123 0.364
Hf 0.877 0.877 0.636
Ti 0.390 0.390 0.136
Ti 0.610 0.610 0.864
C 0.000 0.000 0.000
C 0.500 0.500 0.500